Density functional theory data (GGA-PBE) for crystalline Sc2TlF at its relaxed geometry.

Unit cell a=5.700 b=5.700 c=6.975 alpha=65.88 beta=65.88 gamma=90.00
Sites, in units of the cell vectors:
Sc 0.375 0.498 0.750
Sc 0.248 0.625 0.250
Sc 0.875 0.752 0.750
Sc 0.502 0.125 0.250
F 0.250 0.750 0.500
F 0.500 0.500 0.000
Tl 0.750 0.250 0.500
Tl 0.000 0.000 0.000

## Properties
The energy relative to the elements, uncorrected is -4.053 eV/f.u. The crystal system is tetragonal. The density of states at the Fermi level is 5.602 states/eV/cell. Its total energy is -5.24 eV per atom. The calculation puts the size of the total moment at 0.0000 μB per atom. The space-group type is I-42d (122).


Density functional theory data (GGA-PBE) for crystalline ScTl2F8 at its relaxed geometry.

Unit cell a=4.510 b=6.838 c=6.837 alpha=120.01 beta=90.00 gamma=90.00
Sites, in units of the cell vectors:
F 0.756 0.856 0.710
F 0.244 0.144 0.290
F 0.251 0.667 0.333
F 0.244 0.146 0.856
F 0.749 0.333 0.667
F 0.244 0.710 0.854
F 0.756 0.290 0.146
F 0.756 0.854 0.144
Tl 0.749 0.667 0.333
Tl 0.251 0.333 0.667
Sc 0.000 0.000 0.000

## Properties
The energy relative to the elements, uncorrected is -27.111 eV/f.u. The crystal system is trigonal. The density of states at the Fermi level is 2.950 states/eV/cell. Its total energy is -4.83 eV per atom. The calculation puts the size of the total moment at 0.0000 μB per atom. The space-group type is P-3 (147).


Density functional theory data (GGA-PBE) for crystalline ScTl3F6 at its relaxed geometry.

Unit cell a=6.619 b=6.619 c=6.619 alpha=60.00 beta=60.00 gamma=60.00
Sites, in units of the cell vectors:
Sc 0.000 0.000 0.000
F 0.217 0.783 0.783
F 0.783 0.217 0.783
F 0.783 0.217 0.217
F 0.783 0.783 0.217
F 0.217 0.783 0.217
F 0.217 0.217 0.783
Tl 0.750 0.750 0.750
Tl 0.250 0.250 0.250
Tl 0.500 0.500 0.500

## Properties
The energy relative to the elements, uncorrected is -26.469 eV/f.u. The crystal system is cubic. The density of states at the Fermi level is 0.000 states/eV/cell. Its total energy is -5.11 eV per atom. The calculation puts the size of the total moment at 0.0000 μB per atom. The space-group type is Fm-3m (225).


Density functional theory data (GGA-PBE) for crystalline ScTlF2 at its relaxed geometry.

Unit cell a=8.481 b=8.481 c=8.481 alpha=23.69 beta=23.69 gamma=23.69
Sites, in units of the cell vectors:
Tl 0.500 0.500 0.500
F 0.079 0.079 0.079
F 0.921 0.921 0.921
Sc 0.000 0.000 0.000

## Properties
The energy relative to the elements, uncorrected is -8.221 eV/f.u. The crystal system is trigonal. The density of states at the Fermi level is 1.300 states/eV/cell. Its total energy is -5.17 eV per atom. The calculation puts the size of the total moment at 0.0000 μB per atom. The space-group type is R-3m (166).


Density functional theory data (GGA-PBE) for crystalline Sc2Tl3F9 at its relaxed geometry.

Unit cell a=7.966 b=7.966 c=7.966 alpha=86.16 beta=86.16 gamma=86.16
Sites, in units of the cell vectors:
F 0.418 0.244 0.571
F 0.112 0.250 0.388
F 0.244 0.571 0.418
F 0.929 0.256 0.082
F 0.071 0.744 0.918
F 0.612 0.888 0.750
F 0.756 0.429 0.582
F 0.571 0.418 0.244
F 0.750 0.612 0.888
F 0.888 0.750 0.612
F 0.256 0.082 0.929
F 0.388 0.112 0.250
F 0.918 0.071 0.744
F 0.744 0.918 0.071
F 0.429 0.582 0.756
F 0.250 0.388 0.112
F 0.082 0.929 0.256
F 0.582 0.756 0.429
Sc 0.145 0.145 0.145
Sc 0.855 0.855 0.855
Sc 0.355 0.355 0.355
Sc 0.645 0.645 0.645
Tl 0.414 0.750 0.086
Tl 0.586 0.250 0.914
Tl 0.914 0.586 0.250
Tl 0.250 0.914 0.586
Tl 0.750 0.086 0.414
Tl 0.086 0.414 0.750

## Properties
The energy relative to the elements, uncorrected is -42.244 eV/f.u. The crystal system is trigonal. The density of states at the Fermi level is 0.000 states/eV/cell. Its total energy is -5.63 eV per atom. The calculation puts the size of the total moment at 0.0000 μB per atom. The space-group type is R-3c (167).


Density functional theory data (GGA-PBE) for crystalline ScTlF2 at its relaxed geometry.

Unit cell a=9.194 b=9.194 c=9.194 alpha=21.04 beta=21.04 gamma=21.04
Site moments in Bohr magnetons follow the coordinates.
Sites, in units of the cell vectors:
F 0.129 0.129 0.129  0.02
F 0.871 0.871 0.871  0.02
Tl 0.000 0.000 0.000  -0.01
Sc 0.500 0.500 0.500  0.67

## Properties
The energy relative to the elements, uncorrected is -9.198 eV/f.u. The crystal system is trigonal. The density of states at the Fermi level is 2.105 states/eV/cell. Its total energy is -5.41 eV per atom. The calculation puts the size of the total moment at 0.2085 μB per atom. The space-group type is R-3m (166).


Density functional theory data (GGA-PBE) for crystalline ScTl5F8 at its relaxed geometry.

Unit cell a=8.049 b=8.049 c=8.049 alpha=103.36 beta=103.36 gamma=122.55
Sites, in units of the cell vectors:
Sc 0.250 0.750 0.500
F 0.090 0.780 0.632
F 0.609 0.356 0.244
F 0.542 0.910 0.691
F 0.636 0.391 0.747
F 0.148 0.458 0.368
F 0.112 0.364 0.756
F 0.644 0.888 0.253
F 0.220 0.852 0.309
Tl 0.500 0.500 0.000
Tl 0.039 0.117 0.453
Tl 0.413 0.961 0.078
Tl 0.883 0.336 0.922
Tl 0.664 0.587 0.547

## Properties
The energy relative to the elements, uncorrected is -32.242 eV/f.u. The crystal system is tetragonal. The density of states at the Fermi level is 0.000 states/eV/cell. Its total energy is -4.67 eV per atom. The calculation puts the size of the total moment at 0.0000 μB per atom. The space-group type is I-4 (82).


Density functional theory data (GGA-PBE) for crystalline Sc2TlF2 at its relaxed geometry.

Unit cell a=3.565 b=3.565 c=6.926 alpha=75.09 beta=75.09 gamma=90.00
Sites, in units of the cell vectors:
Sc 0.641 0.641 0.718
Sc 0.359 0.359 0.282
F 0.750 0.250 0.500
F 0.250 0.750 0.500
Tl 0.000 0.000 0.000

## Properties
The energy relative to the elements, uncorrected is -10.793 eV/f.u. The crystal system is tetragonal. The density of states at the Fermi level is 1.814 states/eV/cell. Its total energy is -5.91 eV per atom. The calculation puts the size of the total moment at 0.0000 μB per atom. The space-group type is I4/mmm (139).